*A*
The following is a PBE calculation of crystalline Pm3Pr7Ho at its relaxed geometry, from the Alexandria database.

## Properties
Fermi-level density of states = 1.462 states/eV/atom

abc: 6.0206 8.6764 8.6764
angles: 82.92 110.25 110.25
Element x y z (fractional)
Ho 0.5000 0.5000 0.5000
Pr 0.3045 0.0122 0.5975
Pr 0.6955 0.9878 0.4025
Pr 0.7893 0.7900 0.7900
Pr 0.2107 0.2100 0.2100
Pm 0.5000 0.0000 0.0000
Pr 0.0000 0.5000 0.5000
Pr 0.3045 0.5975 0.0122
Pm 0.0000 0.7925 0.2075
Pm 0.0000 0.2075 0.7925
Pr 0.6955 0.4025 0.9878


*B*
The following is a PBE calculation of crystalline Pm3Pr7Ho at its relaxed geometry, from the Alexandria database.

## Properties
Fermi-level density of states = 1.422 states/eV/atom

abc: 6.5721 7.8759 7.8759
angles: 82.34 86.26 86.26
Element x y z (fractional)
Ho 0.5000 0.5000 0.5000
Pm 0.5000 0.0000 0.0000
Pr 0.7383 0.9187 0.5724
Pr 0.0000 0.5000 0.5000
Pr 0.2617 0.0813 0.4276
Pr 0.2151 0.7606 0.7606
Pm 0.0000 0.8300 0.1700
Pr 0.7383 0.5724 0.9187
Pr 0.7849 0.2394 0.2394
Pr 0.2617 0.4276 0.0813
Pm 0.0000 0.1700 0.8300


Decreasing stability: *A*, *B*


*A*
The following is a PBE calculation of crystalline Pm4Pr3Ho5 at its relaxed geometry, from the Alexandria database.

## Properties
Fermi-level density of states = 1.581 states/eV/atom

abc: 6.0068 8.6222 9.7770
angles: 105.67 72.11 69.61
Element x y z (fractional)
Ho 0.6256 0.9457 0.8031
Pm 0.8615 0.2226 0.0545
Ho 0.2148 0.4566 0.1138
Pm 0.8282 0.9627 0.3809
Ho 0.5000 0.5000 0.5000
Pm 0.1718 0.0373 0.6191
Ho 0.3744 0.0543 0.1969
Ho 0.7852 0.5434 0.8862
Pr 0.4767 0.3130 0.7337
Pr 0.0000 0.5000 0.5000
Pr 0.5233 0.6870 0.2663
Pm 0.1385 0.7774 0.9455


*B*
The following is a PBE calculation of crystalline Pm4Pr3Ho5 at its relaxed geometry, from the Alexandria database.

## Properties
Fermi-level density of states = 1.330 states/eV/atom

abc: 7.2223 11.4244 13.0247
angles: 151.30 56.40 129.20
Element x y z (fractional)
Pr 0.4179 0.8356 0.6682
Ho 0.7506 0.5011 0.0008
Pr 0.0000 0.0000 0.5000
Pm 0.9175 0.8368 0.6691
Ho 0.6696 0.3343 0.1649
Pm 0.0825 0.1632 0.3309
Pm 0.1696 0.3381 0.1681
Ho 0.2494 0.4989 0.9992
Pm 0.8304 0.6619 0.8319
Ho 0.5000 0.0000 0.5000
Pr 0.5821 0.1644 0.3318
Ho 0.3304 0.6657 0.8351


Decreasing stability: *B*, *A*


*A*
The following is a PBE calculation of crystalline Pm3Pr2Ho4 at its relaxed geometry, from the Alexandria database.

## Properties
Fermi-level density of states = 1.262 states/eV/atom

abc: 3.6492 6.5888 14.6416
angles: 65.51 90.00 106.08
Element x y z (fractional)
Pm 0.0000 0.0000 0.0000
Ho 0.8713 0.7427 0.4145
Ho 0.6625 0.3249 0.1191
Ho 0.1287 0.2573 0.5855
Ho 0.3375 0.6751 0.8809
Pm 0.6140 0.2281 0.3810
Pm 0.3860 0.7719 0.6190
Pr 0.3499 0.6998 0.2149
Pr 0.6501 0.3002 0.7851


*B*
The following is a PBE calculation of crystalline Pm3Pr2Ho4 at its relaxed geometry, from the Alexandria database.

## Properties
Fermi-level density of states = 1.472 states/eV/atom

abc: 5.1004 8.0561 8.0803
angles: 107.46 108.40 90.00
Element x y z (fractional)
Ho 0.7781 0.6633 0.5561
Ho 0.2219 0.3367 0.4439
Ho 0.4429 0.6636 0.8857
Pm 0.1109 0.6636 0.2218
Pr 0.6661 0.0007 0.3321
Pr 0.3339 0.9993 0.6679
Ho 0.5571 0.3364 0.1143
Pm 0.8891 0.3364 0.7782
Pm 0.0000 0.0000 0.0000


Decreasing stability: *B*, *A*


*A*
The following is a PBE calculation of crystalline Pm3Pr6Ho2 at its relaxed geometry, from the Alexandria database.

## Properties
Fermi-level density of states = 1.557 states/eV/atom

abc: 4.8191 4.8191 17.5139
angles: 97.91 97.91 90.00
Element x y z (fractional)
Pm 0.0000 0.0000 0.0000
Pm 0.8053 0.8053 0.6107
Pr 0.7052 0.7052 0.4105
Pr 0.3812 0.8812 0.7624
Pr 0.6188 0.1188 0.2376
Pr 0.2948 0.2948 0.5895
Pr 0.1188 0.6188 0.2376
Pr 0.8812 0.3812 0.7624
Pm 0.1947 0.1947 0.3893
Ho 0.4553 0.4553 0.9106
Ho 0.5447 0.5447 0.0894


*B*
The following is a PBE calculation of crystalline Pm3Pr6Ho2 at its relaxed geometry, from the Alexandria database.

## Properties
Fermi-level density of states = 1.296 states/eV/atom

abc: 3.6633 3.6633 32.9161
angles: 86.81 86.81 60.00
Element x y z (fractional)
Ho 0.4546 0.4546 0.6361
Pr 0.8176 0.8176 0.5471
Ho 0.5454 0.5454 0.3639
Pm 0.0000 0.0000 0.0000
Pr 0.1824 0.1824 0.4529
Pr 0.9083 0.9083 0.2750
Pr 0.3639 0.3639 0.9083
Pm 0.2723 0.2723 0.1831
Pr 0.0917 0.0917 0.7250
Pr 0.6361 0.6361 0.0917
Pm 0.7277 0.7277 0.8169


Decreasing stability: *B*, *A*


*A*
The following is a PBE calculation of crystalline Pm3Pr2Ho5 at its relaxed geometry, from the Alexandria database.

## Properties
Fermi-level density of states = 1.602 states/eV/atom

abc: 9.3923 9.3842 11.2098
angles: 124.44 124.46 69.45
Element x y z (fractional)
Pr 0.2331 0.9714 0.2518
Pm 0.0328 0.7700 0.2558
Pr 0.4813 0.7196 0.7482
Pm 0.7230 0.4858 0.2558
Pr 0.5187 0.2804 0.2518
Pm 0.7728 0.0228 0.0456
Ho 0.6459 0.8917 0.2661
Ho 0.2698 0.5198 0.0396
Pr 0.7669 0.0286 0.7482
Ho 0.1202 0.3744 0.2661
Ho 0.5240 0.2740 0.5481
Pm 0.2272 0.9772 0.9544
Ho 0.4760 0.7260 0.4519
Ho 0.9728 0.2228 0.4457
Ho 0.7302 0.4802 0.9604
Pm 0.2770 0.5142 0.7442
Pm 0.9672 0.2300 0.7442
Ho 0.0272 0.7772 0.5543
Ho 0.8798 0.6256 0.7339
Ho 0.3541 0.1083 0.7339


*B*
The following is a PBE calculation of crystalline Pm3Pr2Ho5 at its relaxed geometry, from the Alexandria database.

## Properties
Fermi-level density of states = 1.540 states/eV/atom

abc: 6.8518 12.4153 12.4153
angles: 44.92 73.98 73.98
Element x y z (fractional)
Ho 0.0016 0.7484 0.7484
Pr 0.6259 0.9786 0.7695
Pm 0.1310 0.1212 0.6168
Ho 0.5016 0.7484 0.7484
Pr 0.3741 0.0214 0.2305
Ho 0.6249 0.2898 0.4604
Pm 0.7500 0.0000 0.0000
Ho 0.3751 0.7102 0.5396
Pm 0.8690 0.8788 0.3832
Ho 0.8751 0.5396 0.7102
Pm 0.3690 0.3832 0.8788
Pm 0.6310 0.6168 0.1212
Ho 0.4984 0.2516 0.2516
Ho 0.1249 0.4604 0.2898
Ho 0.2500 0.5000 0.5000
Ho 0.9984 0.2516 0.2516
Pm 0.2500 0.0000 0.0000
Pr 0.8741 0.2305 0.0214
Ho 0.7500 0.5000 0.5000
Pr 0.1259 0.7695 0.9786


Decreasing stability: *A*, *B*


*A*
The following is a PBE calculation of crystalline PmPr2Ho at its relaxed geometry, from the Alexandria database.

## Properties
Fermi-level density of states = 2.148 states/eV/atom

abc: 5.8015 5.8015 5.8015
angles: 60.00 60.00 60.00
Element x y z (fractional)
Pr 0.2500 0.2500 0.2500
Pm 0.5000 0.5000 0.5000
Ho 0.0000 0.0000 0.0000
Pr 0.7500 0.7500 0.7500


*B*
The following is a PBE calculation of crystalline PmPr2Ho at its relaxed geometry, from the Alexandria database.

## Properties
Fermi-level density of states = 1.801 states/eV/atom

abc: 3.5567 3.5567 12.8647
angles: 82.05 82.05 60.00
Element x y z (fractional)
Pr 0.9103 0.9103 0.2691
Ho 0.5000 0.5000 0.5000
Pr 0.0897 0.0897 0.7309
Pm 0.0000 0.0000 0.0000


Decreasing stability: *A*, *B*


*A*
The following is a PBE calculation of crystalline PmPr2Ho at its relaxed geometry, from the Alexandria database.

## Properties
Fermi-level density of states = 1.460 states/eV/atom

abc: 3.6620 3.6620 12.0582
angles: 81.27 81.27 60.00
Element x y z (fractional)
Ho 0.6671 0.6671 0.9988
Pr 0.0821 0.0821 0.7537
Pr 0.2512 0.2512 0.2463
Pm 0.4996 0.4996 0.5012


*B*
The following is a PBE calculation of crystalline PmPr2Ho at its relaxed geometry, from the Alexandria database.

## Properties
Fermi-level density of states = 1.192 states/eV/atom

abc: 3.6572 3.6572 12.0380
angles: 81.26 81.26 60.00
Element x y z (fractional)
Pr 0.7487 0.7487 0.7538
Ho 0.0000 0.0000 0.0000
Pr 0.2513 0.2513 0.2462
Pm 0.5000 0.5000 0.5000


Decreasing stability: *B*, *A*


*A*
The following is a PBE calculation of crystalline PmPr2Ho at its relaxed geometry, from the Alexandria database.

## Properties
Fermi-level density of states = 1.515 states/eV/atom

abc: 3.6552 3.6552 10.3082
angles: 90.00 90.00 90.00
Element x y z (fractional)
Pm 0.5000 0.5000 0.0000
Pr 0.0000 0.0000 0.7461
Ho 0.5000 0.5000 0.5000
Pr 0.0000 0.0000 0.2539


*B*
The following is a PBE calculation of crystalline PmPr2Ho at its relaxed geometry, from the Alexandria database.

## Properties
Fermi-level density of states = 2.012 states/eV/atom

abc: 4.2620 4.2620 7.5943
angles: 90.00 90.00 90.00
Element x y z (fractional)
Pm 0.5000 0.5000 0.5000
Pr 0.0000 0.0000 0.7587
Ho 0.5000 0.5000 0.0000
Pr 0.0000 0.0000 0.2413


Decreasing stability: *A*, *B*


*A*
The following is a PBE calculation of crystalline Pm2PrHo3 at its relaxed geometry, from the Alexandria database.

## Properties
Fermi-level density of states = 1.537 states/eV/atom

abc: 3.5203 10.3683 11.7955
angles: 108.33 98.58 90.00
Element x y z (fractional)
Ho 0.6948 0.7147 0.3895
Ho 0.5589 0.4462 0.1178
Ho 0.0683 0.7588 0.1367
Ho 0.9317 0.2412 0.8633
Ho 0.3052 0.2853 0.6105
Pm 0.0665 0.1410 0.1330
Pm 0.9335 0.8590 0.8670
Ho 0.4411 0.5538 0.8822
Pr 0.3142 0.9632 0.6285
Pr 0.6858 0.0368 0.3715
Pm 0.6911 0.3728 0.3822
Pm 0.3089 0.6272 0.6178


*B*
The following is a PBE calculation of crystalline Pm2PrHo3 at its relaxed geometry, from the Alexandria database.

## Properties
Fermi-level density of states = 1.512 states/eV/atom

abc: 6.4047 8.1580 8.1580
angles: 71.60 90.00 90.00
Element x y z (fractional)
Pr 0.7894 0.8250 0.8250
Ho 0.1111 0.8775 0.5135
Pm 0.0662 0.6232 0.2614
Pr 0.2894 0.1750 0.1750
Ho 0.3140 0.9174 0.9174
Pm 0.5662 0.7386 0.3768
Pm 0.0662 0.2614 0.6232
Ho 0.1111 0.5135 0.8775
Ho 0.6111 0.1225 0.4865
Ho 0.6111 0.4865 0.1225
Pm 0.5662 0.3768 0.7386
Ho 0.8140 0.0826 0.0826


Decreasing stability: *A*, *B*


*A*
The following is a PBE calculation of crystalline Pm4PrHo2 at its relaxed geometry, from the Alexandria database.

## Properties
Fermi-level density of states = 1.485 states/eV/atom

abc: 12.5955 12.5955 6.8328
angles: 97.02 97.02 150.18
Element x y z (fractional)
Ho 0.9246 0.1064 0.0538
Ho 0.1064 0.9246 0.5538
Pm 0.7173 0.1806 0.8730
Pm 0.1406 0.0341 0.0994
Pm 0.5581 0.5946 0.1276
Pm 0.0341 0.1406 0.5994
Pm 0.1848 0.7911 0.9010
Pr 0.6778 0.4277 0.0002
Pm 0.1806 0.7173 0.3730
Pr 0.4277 0.6778 0.5002
Ho 0.6208 0.3029 0.4464
Pm 0.7911 0.1848 0.4010
Ho 0.3029 0.6208 0.9464
Pm 0.5946 0.5581 0.6276


*B*
The following is a PBE calculation of crystalline Pm4PrHo2 at its relaxed geometry, from the Alexandria database.

## Properties
Fermi-level density of states = 1.509 states/eV/atom

abc: 6.1934 6.6648 11.8323
angles: 90.00 105.86 90.00
Element x y z (fractional)
Pm 0.1457 0.7500 0.4392
Pm 0.9963 0.2500 0.1514
Pr 0.8349 0.2500 0.8496
Pm 0.3534 0.9982 0.7124
Pm 0.6466 0.0018 0.2876
Ho 0.2934 0.2500 0.4387
Pr 0.1651 0.7500 0.1504
Ho 0.5984 0.7500 0.9991
Ho 0.4016 0.2500 0.0009
Pm 0.0037 0.7500 0.8486
Pm 0.6466 0.4982 0.2876
Pm 0.3534 0.5018 0.7124
Pm 0.8543 0.2500 0.5608
Ho 0.7066 0.7500 0.5613


Decreasing stability: *A*, *B*


*A*
The following is a PBE calculation of crystalline PmPr4Ho at its relaxed geometry, from the Alexandria database.

## Properties
Fermi-level density of states = 1.566 states/eV/atom

abc: 8.2161 8.2161 5.1945
angles: 89.98 89.98 36.95
Element x y z (fractional)
Pm 0.5000 0.5000 0.5000
Ho 0.0000 0.0000 0.0000
Pr 0.6654 0.6654 0.0000
Pr 0.1647 0.1647 0.5000
Pr 0.8353 0.8353 0.5000
Pr 0.3346 0.3346 0.0000


*B*
The following is a PBE calculation of crystalline PmPr4Ho at its relaxed geometry, from the Alexandria database.

## Properties
Fermi-level density of states = 1.893 states/eV/atom

abc: 3.5112 6.2225 10.3709
angles: 88.18 80.25 73.61
Element x y z (fractional)
Pm 0.5000 0.5000 0.5000
Ho 0.0000 0.0000 0.0000
Pr 0.8445 0.9690 0.3419
Pr 0.6564 0.5328 0.1544
Pr 0.1555 0.0310 0.6581
Pr 0.3436 0.4672 0.8456


Decreasing stability: *A*, *B*